1.
Compound: AgPPdRh2
Source: the Alexandria database
Functional: GGA-PBE
Structure: optimized geometry

Geometry as POSCAR:
```
AgPPdRh2
1.0
4.917 0.000 0.000
0.000 4.917 0.000
0.000 0.000 4.358
Ag P Pd Rh
1 1 1 2
direct
0.000 0.000 0.000
0.000 0.000 0.500
0.500 0.500 0.500
0.000 0.500 0.000
0.500 0.000 0.000
```

- Total DFT energy (no corrections): -20.2 eV per formula unit
- DFT formation energy: 1.593 eV/atom
- Total moment: 2.4 μB per formula unit
- Symmetry: P4/mmm, No. 123

=====

2.
Compound: Cu2PtPb
Source: the Alexandria database
Functional: GGA-PBE
Structure: optimized geometry

Geometry as POSCAR:
```
Cu2PtPb
1.0
4.087 0.000 0.000
0.000 4.087 0.000
0.000 0.000 3.899
Cu Pt Pb
2 1 1
direct
0.000 0.500 0.000
0.500 0.000 0.000
0.000 0.000 0.500
0.500 0.500 0.500
```

- Total DFT energy (no corrections): -17.6 eV per formula unit
- DFT formation energy: 0.090 eV/atom
- Total moment: 0.0 μB per formula unit
- Symmetry: P4/mmm, No. 123

=====

3.
Compound: AlCuCl2
Source: the Alexandria database
Functional: GGA-PBE
Structure: optimized geometry

Geometry as POSCAR:
```
AlCuCl2
1.0
-1.596 2.085 6.774
1.596 -2.085 6.774
1.596 2.085 -6.774
Al Cu Cl
1 1 2
direct
0.000 0.000 0.000
0.500 0.500 0.000
0.134 0.634 0.500
0.866 0.366 0.500
```

- Energy relative to the elements, uncorrected: -0.437 eV/atom
- Total DFT energy (no corrections): -13.3 eV per formula unit
- Total moment: 0.0 μB per formula unit
- Symmetry: Immm, No. 71

=====

4.
Compound: Tl6In5
Source: the Alexandria database
Functional: GGA-PBE
Structure: optimized geometry

Geometry as POSCAR:
```
Tl6In5
1.0
2.811 -6.048 0.000
2.811 6.048 0.000
0.000 0.000 9.759
Tl In
6 5
direct
0.000 0.000 0.200
0.000 0.000 0.800
0.348 0.652 0.301
0.348 0.652 0.699
0.652 0.348 0.301
0.652 0.348 0.699
0.130 0.870 0.500
0.207 0.793 0.000
0.500 0.500 0.000
0.793 0.207 0.000
0.870 0.130 0.500
```

- Total DFT energy (no corrections): -27.3 eV per formula unit
- DFT formation energy: 0.049 eV/atom
- Total moment: 0.0 μB per formula unit
- Symmetry: Cmmm, No. 65

=====

5.
Compound: Nd2Dy3Y6
Source: the Alexandria database
Functional: GGA-PBE
Structure: optimized geometry

Geometry as POSCAR:
```
Nd2Dy3Y6
1.0
3.075 -5.334 0.000
3.075 5.334 0.000
-2.070 0.000 11.562
Nd Dy Y
2 3 6
direct
0.167 0.833 0.000
0.833 0.167 0.000
0.000 0.000 0.500
0.335 0.665 0.500
0.665 0.335 0.500
0.083 0.416 0.748
0.251 0.251 0.252
0.416 0.083 0.748
0.584 0.917 0.252
0.749 0.749 0.748
0.917 0.584 0.252
```

- Total DFT energy (no corrections): -60.1 eV per formula unit
- DFT formation energy: 0.186 eV/atom
- Total moment: 0.0 μB per formula unit
- Symmetry: C2/m, No. 12

=====

6.
Compound: LaMnCo2
Source: the Alexandria database
Functional: GGA-PBE
Structure: optimized geometry

Geometry as POSCAR:
```
LaMnCo2
1.0
0.000 3.178 3.178
3.178 0.000 3.178
3.178 3.178 0.000
La Mn Co
1 1 2
direct
0.000 0.000 0.000
0.250 0.250 0.250
0.500 0.500 0.500
0.750 0.750 0.750
```

- Total DFT energy (no corrections): -26.7 eV per formula unit
- DFT formation energy: 0.408 eV/atom
- Total moment: 5.1 μB per formula unit
- Symmetry: F-43m, No. 216